# 1
KRbS2 | PBE | relaxed

Computed properties:
The relative energy among the computed polymorphs comes out at 425 meV per atom.

CIF file:
```
data_KRbS2
_chemical_formula_sum 'K4 Rb4 S8'
_symmetry_space_group_name_H-M 'F m -3 m'
_symmetry_Int_Tables_number 225
_symmetry_space_group_name_Hall '-F 4 2 3'
_cell_length_a 7.859
_cell_length_b 7.859
_cell_length_c 7.859
_cell_angle_alpha 90.00
_cell_angle_beta 90.00
_cell_angle_gamma 90.00
loop_
_atom_site_label
_atom_site_type_symbol
_atom_site_fract_x
_atom_site_fract_y
_atom_site_fract_z
K1 K 0.000 0.000 0.000
Rb1 Rb 0.000 0.000 0.500
S1 S 0.250 0.250 0.250
```

=====

# 2
K3RbS | PBE | relaxed

Computed properties:
The relative energy among the computed polymorphs comes out at 0 meV per atom.

CIF file:
```
data_K3RbS
_chemical_formula_sum 'K3 Rb1 S1'
_symmetry_space_group_name_H-M 'P m -3 m'
_symmetry_Int_Tables_number 221
_symmetry_space_group_name_Hall '-P 4 2 3'
_cell_length_a 6.397
_cell_length_b 6.397
_cell_length_c 6.397
_cell_angle_alpha 90.00
_cell_angle_beta 90.00
_cell_angle_gamma 90.00
loop_
_atom_site_label
_atom_site_type_symbol
_atom_site_fract_x
_atom_site_fract_y
_atom_site_fract_z
K1 K 0.000 0.000 0.500
Rb1 Rb 0.500 0.500 0.500
S1 S 0.000 0.000 0.000
```

=====

# 3
KRbS | PBE | relaxed

Computed properties:
For the energy, the calculation gives -2.91 eV per atom.

CIF file:
```
data_KRbS
_chemical_formula_sum 'K2 Rb2 S2'
_symmetry_space_group_name_H-M 'I 4 m m'
_symmetry_Int_Tables_number 107
_symmetry_space_group_name_Hall 'I 4 -2'
_cell_length_a 4.422
_cell_length_b 4.422
_cell_length_c 9.745
_cell_angle_alpha 90.00
_cell_angle_beta 90.00
_cell_angle_gamma 90.00
loop_
_atom_site_label
_atom_site_type_symbol
_atom_site_fract_x
_atom_site_fract_y
_atom_site_fract_z
K1 K 0.000 0.000 0.000
Rb1 Rb 0.000 0.000 0.310
S1 S 0.000 0.000 0.654
```